# 1
Compound: Gd2LuS
Source: Alexandria
Functional: GGA-PBE
Structure: relaxed

a b c (Å): 3.6734 3.6734 10.2316
angles (deg): 79.66 79.66 60.00
Site moments in Bohr magnetons follow the coordinates.
Element x y z (fractional)
Gd  0.8892  0.8892  0.3325  7.06
Gd  0.1108  0.1108  0.6675  7.06
S  0.5000  0.5000  0.5000  -0.04
Lu  0.0000  0.0000  0.0000  0.14

Calculated values
**SG**: R-3m
**ρ**: 7.404 g cm⁻³
**Total energy**: -9.91 eV/atom
**Raw formation energy**: -0.708 eV/atom

=====

# 2
Compound: Ca5In2P6
Source: Alexandria
Functional: GGA-PBE
Structure: relaxed

a b c (Å): 4.1756 11.2409 13.0819
angles (deg): 90.00 90.00 90.00
Element x y z (fractional)
Ca  0.5000  0.5880  0.2529
Ca  0.5000  0.1805  0.9890
Ca  0.5000  0.9120  0.7529
Ca  0.5000  0.6805  0.5110
Ca  0.5000  0.8195  0.0110
Ca  0.5000  0.3195  0.4890
Ca  0.5000  0.4120  0.7471
Ca  0.5000  0.0000  0.5000
Ca  0.5000  0.5000  0.0000
Ca  0.5000  0.0880  0.2471
P  0.5000  0.1607  0.6727
P  0.0000  0.4740  0.5840
P  0.0000  0.9740  0.9160
P  0.5000  0.8393  0.3273
P  0.0000  0.8490  0.5988
P  0.0000  0.0260  0.0840
P  0.5000  0.6607  0.8273
P  0.0000  0.6510  0.0988
P  0.0000  0.5260  0.4160
P  0.0000  0.1510  0.4012
P  0.0000  0.3490  0.9012
P  0.5000  0.3393  0.1727
In  0.0000  0.3335  0.2841
In  0.0000  0.1666  0.7841
In  0.0000  0.6666  0.7159
In  0.0000  0.8334  0.2159

Calculated values
**SG**: Pbam
**ρ**: 3.331 g cm⁻³
**Total energy**: -4.58 eV/atom
**Formation energy**: -11.6 eV/f.u.

=====

# 3
Compound: Ca2CrS
Source: Alexandria
Functional: GGA-PBE
Structure: relaxed

a b c (Å): 7.9272 7.9272 6.7902
angles (deg): 54.29 54.29 90.00
Site moments in Bohr magnetons follow the coordinates.
Element x y z (fractional)
Ca  0.8750  0.8216  0.7500  0.04
Ca  0.3750  0.4284  0.7500  0.04
Ca  0.1784  0.6250  0.2500  0.05
Ca  0.5716  0.1250  0.2500  0.05
S  0.2500  0.7500  0.5000  0.03
S  0.5000  0.5000  0.0000  0.03
Cr  0.7500  0.2500  0.5000  4.16
Cr  0.0000  0.0000  0.0000  4.16

Calculated values
**SG**: I-42d
**ρ**: 2.265 g cm⁻³
**Total energy**: -4.71 eV/atom
**Raw formation energy**: -0.270 eV/atom

=====

# 4
Compound: HoErAlZn
Source: Alexandria
Functional: GGA-PBE
Structure: relaxed

a b c (Å): 3.5477 3.5477 7.1782
angles (deg): 90.00 90.00 90.00
Element x y z (fractional)
Ho  0.5000  0.5000  0.6024
Er  0.5000  0.5000  0.1122
Zn  0.0000  0.0000  0.3547
Al  0.0000  0.0000  0.8587

Calculated values
**SG**: P4mm
**ρ**: 7.804 g cm⁻³
**Total energy**: -3.92 eV/atom
**Energy relative to the lowest polymorph listed for this composition**: 0.000 eV per atom
**Formation energy**: -1.5 eV/f.u.

=====

# 5
Compound: Zr2MoAs
Source: Alexandria
Functional: GGA-PBE
Structure: relaxed

a b c (Å): 3.1277 3.1277 8.3503
angles (deg): 90.00 90.00 109.18
Element x y z (fractional)
As  0.5000  0.5000  0.2500
Zr  0.0000  0.0000  0.4955
Zr  0.0000  0.0000  0.0045
Mo  0.5000  0.5000  0.7500

Calculated values
**SG**: Cmmm
**ρ**: 7.604 g cm⁻³
**Total energy**: -8.47 eV/atom
**Formation energy**: -1.3 eV/f.u.

=====

# 6
Compound: BiTe2O8
Source: Alexandria
Functional: GGA-PBE
Structure: relaxed

a b c (Å): 5.3130 5.3130 6.5737
angles (deg): 113.84 113.84 90.00
Element x y z (fractional)
Te  0.2500  0.7500  0.5000
Te  0.7500  0.2500  0.5000
O  0.0663  0.5508  0.7334
O  0.1826  0.0663  0.7334
O  0.9337  0.8174  0.2666
O  0.3328  0.4492  0.2666
O  0.5508  0.6672  0.7334
O  0.8174  0.3328  0.2666
O  0.6672  0.1826  0.7334
O  0.4492  0.9337  0.2666
Bi  0.5000  0.5000  0.0000

Calculated values
**SG**: I422
**ρ**: 6.458 g cm⁻³
**Total energy**: -5.06 eV/atom
**Energy relative to the lowest polymorph listed for this composition**: 0.163 eV per atom
**Raw formation energy**: -0.530 eV/atom

=====

> What is the total energy in the fifth record?

-8.47 eV/atom

=====

> Among the records above, which one has the lowest ρ?

Ca2CrS

=====

> ρ of number 1 (Gd2LuS)?

7.404 g cm⁻³